No. 1
Here is a relaxed TmTh2Sn2 crystal from Alexandria. Energies are from PBE-GGA.

Size of the total moment, Bohr magnetons per cell: 0.0
E_form, eV per atom: -0.57
Symmetry: No. 127

abc: 4.463 8.169 8.169
angles: 90.00 90.00 90.00
Sites, in units of the cell vectors:
Sn (0.000, 0.865, 0.635)
Sn (0.000, 0.365, 0.865)
Sn (0.000, 0.635, 0.135)
Sn (0.000, 0.135, 0.365)
Th (0.500, 0.668, 0.832)
Th (0.500, 0.168, 0.668)
Th (0.500, 0.332, 0.168)
Th (0.500, 0.832, 0.332)
Tm (0.000, 0.500, 0.500)
Tm (0.000, 0.000, 0.000)

---

No. 2
Here is a relaxed La3Pr4Y crystal from Alexandria. Energies are from PBE-GGA.

Size of the total moment, Bohr magnetons per cell: 0.0
E_form, eV per atom: 0.18
Symmetry: No. 12

abc: 3.555 6.364 13.095
angles: 94.77 97.80 90.00
Sites, in units of the cell vectors:
Pr (0.278, 0.759, 0.556)
Pr (0.106, 0.238, 0.212)
Pr (0.894, 0.762, 0.788)
Pr (0.722, 0.241, 0.444)
La (0.144, 0.749, 0.288)
La (0.000, 0.500, 0.000)
La (0.856, 0.251, 0.712)
Y (0.500, 0.000, 0.000)

---

No. 3
Here is a relaxed AcPr4Ho7 crystal from Alexandria. Energies are from PBE-GGA.

Offset from the most stable computed form, meV per atom: 260
Size of the total moment, Bohr magnetons per cell: 0.0
E_form, eV per atom: 0.29
Symmetry: No. 12

abc: 6.099 11.639 6.901
angles: 83.45 63.78 74.81
Sites, in units of the cell vectors:
Ho (0.060, 0.668, 0.213)
Ho (0.940, 0.332, 0.787)
Ho (0.633, 0.499, 0.235)
Ho (0.367, 0.501, 0.765)
Ho (0.217, 0.078, 0.489)
Ho (0.783, 0.922, 0.511)
Ho (0.500, 0.000, 0.000)
Pr (0.240, 0.326, 0.194)
Pr (0.760, 0.674, 0.806)
Pr (0.631, 0.224, 0.513)
Pr (0.369, 0.776, 0.487)
Ac (0.000, 0.000, 0.000)

---

No. 4
Here is a relaxed Ba2MnNi crystal from Alexandria. Energies are from PBE-GGA.

Offset from the most stable computed form, meV per atom: 204
Size of the total moment, Bohr magnetons per cell: 3.7
E_form, eV per atom: 0.48
Symmetry: No. 10

abc: 3.915 3.933 8.835
angles: 63.51 90.00 90.00
Sites, in units of the cell vectors:
Mn (0.500, 0.250, 0.250)
Ba (0.000, 0.478, 0.521)
Ba (0.000, 0.022, 0.979)
Ni (0.500, 0.750, 0.750)

---

No. 5
Here is a relaxed MgTl crystal from Alexandria. Energies are from PBE-GGA.

Size of the total moment, Bohr magnetons per cell: 0.0
E_form, eV per atom: -0.01
Symmetry: No. 59

abc: 3.404 5.817 5.184
angles: 90.00 90.00 90.00
Sites, in units of the cell vectors:
Tl (0.000, 0.500, 0.323)
Tl (0.500, 0.000, 0.510)
Mg (0.000, 0.000, 0.011)
Mg (0.500, 0.500, 0.822)

---

No. 6
Here is a relaxed CuAg4Bi3S8 crystal from Alexandria. Energies are from PBE-GGA.

Formation energy without anion corrections, eV/atom: -0.170
Size of the total moment, Bohr magnetons per cell: 0.0
Symmetry: No. 12

abc: 7.858 7.633 8.042
angles: 118.85 119.25 90.00
Sites, in units of the cell vectors:
Cu (0.000, 0.500, 0.000)
Bi (0.500, 0.500, 0.500)
Bi (0.000, 0.500, 0.500)
Bi (0.500, 0.500, 0.000)
S (0.257, 0.241, 0.515)
S (0.805, 0.289, 0.014)
S (0.209, 0.289, 0.014)
S (0.791, 0.711, 0.986)
S (0.707, 0.195, 0.413)
S (0.743, 0.759, 0.485)
S (0.293, 0.805, 0.587)
S (0.195, 0.711, 0.986)
Ag (0.000, 0.000, 0.000)
Ag (0.500, 0.000, 0.000)
Ag (0.000, 0.000, 0.500)
Ag (0.500, 0.000, 0.500)

---

No. 7
Here is a relaxed Cs2ScCd crystal from Alexandria. Energies are from PBE-GGA.

Size of the total moment, Bohr magnetons per cell: 0.0
E_form, eV per atom: 0.54
Symmetry: No. 122

abc: 10.325 10.325 10.325
angles: 94.33 94.33 148.10
Sites, in units of the cell vectors:
Sc (0.500, 0.500, 0.000)
Sc (0.750, 0.250, 0.500)
Cs (0.625, 0.969, 0.844)
Cs (0.031, 0.875, 0.656)
Cs (0.219, 0.375, 0.344)
Cs (0.125, 0.781, 0.156)
Cd (0.000, 0.000, 0.000)
Cd (0.250, 0.750, 0.500)

---

No. 8
Here is a relaxed ScCdRe crystal from Alexandria. Energies are from PBE-GGA.

Offset from the most stable computed form, meV per atom: 10
Size of the total moment, Bohr magnetons per cell: 0.0
E_form, eV per atom: 0.21
Symmetry: No. 44

abc: 5.185 5.185 5.185
angles: 148.27 130.67 59.85
Sites, in units of the cell vectors:
Re (0.329, 0.329, 0.000)
Sc (0.674, 0.674, 0.000)
Cd (0.997, 0.997, 0.000)